Entry 1:
{
  "formula": "SrBPt2Au",
  "functional": "GGA-PBE",
  "state": "optimized geometry",
  "cell": [[4.348, 0.000, 0.000], [0.000, 4.348, 0.000], [0.000, 0.000, 4.735]],
  "species": ["Sr", "B", "Pt", "Pt", "Au"],
  "fractional_positions": [[0.000, 0.000, 0.000], [0.500, 0.500, 0.500], [0.000, 0.500, 0.500], [0.500, 0.000, 0.500], [0.500, 0.500, 0.000]],
  "total_energy_ev_per_atom": -5.16,
  "ef_ev_per_atom": -0.4117,
  "space_group": "P4/mmm (123)"
}

=====

Entry 2:
{
  "formula": "Rb2CeMgSe4",
  "functional": "GGA-PBE",
  "state": "optimized geometry",
  "cell": [[-4.404, 4.429, 6.272], [4.404, -4.429, 6.272], [4.404, 4.429, -6.272]],
  "species": ["Rb", "Rb", "Rb", "Rb", "Ce", "Ce", "Mg", "Mg", "Se", "Se", "Se", "Se", "Se", "Se", "Se", "Se"],
  "fractional_positions": [[0.000, 0.000, 0.000], [0.500, 0.000, 0.000], [0.500, 0.000, 0.500], [0.500, 0.500, 0.500], [0.000, 0.500, 0.500], [0.500, 0.500, 0.000], [0.000, 0.000, 0.500], [0.000, 0.500, 0.000], [0.185, 0.730, 0.456], [0.226, 0.270, 0.956], [0.235, 0.272, 0.537], [0.235, 0.698, 0.963], [0.765, 0.302, 0.037], [0.765, 0.728, 0.463], [0.774, 0.730, 0.044], [0.815, 0.270, 0.544]],
  "e_form_raw_kj_per_mol_atoms": -130.7,
  "total_energy_ev_per_atom": -4.28,
  "space_group": "Imma (74)"
}

=====

Entry 3:
{
  "formula": "TiTeNO2",
  "functional": "GGA-PBE",
  "state": "optimized geometry",
  "cell": [[4.042, 0.000, 0.000], [0.000, 4.042, 0.000], [0.000, 0.000, 4.211]],
  "species": ["Ti", "Te", "N", "O", "O"],
  "fractional_positions": [[0.000, 0.000, 0.000], [0.500, 0.500, 0.500], [0.500, 0.500, 0.000], [0.000, 0.500, 0.500], [0.500, 0.000, 0.500]],
  "e_form_raw_kj_per_mol_atoms": 1.2,
  "total_energy_ev_per_atom": -5.84,
  "space_group": "P4/mmm (123)"
}

=====

Entry 4:
{
  "formula": "Al2CrRu",
  "functional": "GGA-PBE",
  "state": "optimized geometry",
  "cell": [[3.016, 0.000, 0.000], [0.000, 3.016, 0.000], [0.000, 0.000, 5.930]],
  "species": ["Al", "Al", "Cr", "Ru"],
  "fractional_positions": [[0.000, 0.000, 0.000], [0.500, 0.500, 0.281], [0.000, 0.000, 0.508], [0.500, 0.500, 0.765]],
  "total_energy_ev_per_atom": -6.89,
  "ef_ev_per_atom": -0.2914,
  "space_group": "P4mm (99)"
}

=====

Entry 5:
{
  "formula": "LaMg2W",
  "functional": "GGA-PBE",
  "state": "optimized geometry",
  "cell": [[-2.313, 2.313, 4.280], [2.313, -2.313, 4.280], [2.313, 2.313, -4.280]],
  "species": ["La", "Mg", "Mg", "W"],
  "fractional_positions": [[0.000, 0.000, 0.000], [0.250, 0.750, 0.500], [0.500, 0.500, 0.000], [0.750, 0.250, 0.500]],
  "e_above_lowest_polymorph_kj_per_mol_fu": 96.0,
  "total_energy_ev_per_atom": -4.63,
  "ef_ev_per_atom": 0.6390,
  "space_group": "I-4m2 (119)"
}

=====

Entry 6:
{
  "formula": "Sn3SCl",
  "functional": "GGA-PBE",
  "state": "optimized geometry",
  "cell": [[5.467, 0.000, 0.000], [0.000, 5.467, 0.000], [0.000, 0.000, 5.467]],
  "species": ["Sn", "Sn", "Sn", "S", "Cl"],
  "fractional_positions": [[0.000, 0.000, 0.500], [0.000, 0.500, 0.000], [0.500, 0.000, 0.000], [0.000, 0.000, 0.000], [0.500, 0.500, 0.500]],
  "e_above_lowest_polymorph_kj_per_mol_fu": 0.0,
  "e_form_raw_kj_per_mol_atoms": 16.5,
  "total_energy_ev_per_atom": -3.43,
  "space_group": "Pm-3m (221)"
}

=====

Entry 7:
{
  "formula": "LaFeAs2",
  "functional": "GGA-PBE",
  "state": "optimized geometry",
  "cell": [[3.953, 0.000, 0.000], [0.000, 3.953, 0.000], [0.000, 0.000, 6.198]],
  "species": ["La", "Fe", "As", "As"],
  "fractional_positions": [[0.000, 0.000, 0.000], [0.500, 0.500, 0.520], [0.000, 0.000, 0.516], [0.500, 0.500, 0.138]],
  "e_above_lowest_polymorph_kj_per_mol_fu": 156.7,
  "total_energy_ev_per_atom": -5.94,
  "ef_ev_per_atom": -0.2713,
  "space_group": "P4mm (99)"
}

=====

Entry 8:
{
  "formula": "CoTcSe2",
  "functional": "GGA-PBE",
  "state": "optimized geometry",
  "cell": [[3.803, -1.562, 0.000], [3.803, 1.562, 0.000], [-1.059, 0.000, 5.219]],
  "species": ["Co", "Tc", "Se", "Se"],
  "fractional_positions": [[0.000, 0.000, 0.000], [0.500, 0.500, 0.500], [0.238, 0.238, 0.749], [0.762, 0.762, 0.251]],
  "e_above_lowest_polymorph_kj_per_mol_fu": 181.8,
  "e_form_raw_kj_per_mol_atoms": 19.2,
  "total_energy_ev_per_atom": -5.91,
  "space_group": "C2/m (12)"
}